Material: AcLaIrRh
Method: DFT, PBE
State: relaxed

Properties
Size of the total moment (μB/f.u.): 0.000
DFT formation energy (eV per atom): -0.561
Fermi-level density of states (states/eV per atom): 0.68

a = 5.168 Å, b = 5.168 Å, c = 5.168 Å
α = 60.00°, β = 60.00°, γ = 60.00°
Fractional coordinates of all 4 atoms:
Ac  0.000  0.000  0.000
La  0.500  0.500  0.500
Ir  0.750  0.750  0.750
Rh  0.250  0.250  0.250